(1)
This record from Alexandria describes a relaxed structure of Hf4FeRu3. The functional is PBE-GGA.

The structure belongs to space group Pmmm (No. 47); the cell edges are 3.218, 4.562 and 9.107 Å and the angles 90.00°, 90.00° and 90.00°. The asymmetric unit holds Hf at (0.000, 0.000, 0.000), Hf at (0.000, 0.000, 0.500), Hf at (0.000, 0.500, 0.244), Fe at (0.500, 0.500, 0.000), Ru at (0.500, 0.000, 0.248) and Ru at (0.500, 0.500, 0.500).

As for the crystal system: orthorhombic. The energy relative to the elements comes out at -686 meV per atom. Its magnetization is 0.1 μB/f.u. Its energy is -10.199 eV/atom.

***

(2)
This record from Alexandria describes a relaxed structure of Rb2ReO4. The functional is PBE-GGA.

The structure belongs to space group P2_1/m (No. 11); the cell edges are 6.068, 6.613 and 8.069 Å and the angles 90.00°, 106.80° and 90.00°. The asymmetric unit holds Rb at (0.088, 0.250, 0.116), Rb at (0.219, 0.750, 0.513), Re at (0.374, 0.250, 0.740), O at (0.232, 0.033, 0.799), O at (0.304, 0.250, 0.504) and O at (0.317, 0.750, 0.186).

As for the crystal system: monoclinic. The energy above the lowest structure with this stoichiometry comes out at 0.0000 eV per atom. As for the formation energy (no corrections): -163 kJ per mole of atoms. Its magnetization is 1.0 μB/f.u. Its energy is -6.578 eV/atom.